# 1
VASP calculation (GGA-PBE) on an optimized crystal structure of Ca2Zn15Ga2.

Space-group type ... R-3m (166)
Theoretical density ... 6.27 g/cm³
Energy relative to the elements ... -181 meV/atom
Magnetization ... 0.00 μB per formula unit

a b c (Å): 6.867 6.867 6.867
angles (deg): 83.43 83.43 83.43
Fractional positions:
1 Ca 0.164 0.164 0.164
2 Ca 0.836 0.836 0.836
3 Zn 0.000 0.500 0.500
4 Zn 0.150 0.150 0.669
5 Zn 0.150 0.669 0.150
6 Zn 0.193 0.500 0.807
7 Zn 0.193 0.807 0.500
8 Zn 0.331 0.850 0.850
9 Zn 0.500 0.000 0.500
10 Zn 0.500 0.193 0.807
11 Zn 0.500 0.500 0.000
12 Zn 0.500 0.807 0.193
13 Zn 0.669 0.150 0.150
14 Zn 0.807 0.193 0.500
15 Zn 0.807 0.500 0.193
16 Zn 0.850 0.332 0.850
17 Zn 0.850 0.850 0.331
18 Ga 0.402 0.402 0.402
19 Ga 0.598 0.598 0.598


# 2
VASP calculation (GGA-PBE) on an optimized crystal structure of PmZr2Ir2.

Space-group type ... I4/mmm (139)
Theoretical density ... 10.42 g/cm³
Energy relative to the elements ... -746 meV/atom
Magnetization ... 0.00 μB per formula unit

a b c (Å): 4.541 4.541 11.010
angles (deg): 90.00 90.00 90.00
Fractional positions:
1 Pm 0.000 0.000 0.000
2 Pm 0.500 0.500 0.500
3 Zr 0.000 0.500 0.250
4 Zr 0.000 0.500 0.750
5 Zr 0.500 0.000 0.250
6 Zr 0.500 0.000 0.750
7 Ir 0.000 0.000 0.383
8 Ir 0.000 0.000 0.617
9 Ir 0.500 0.500 0.117
10 Ir 0.500 0.500 0.883


# 3
VASP calculation (GGA-PBE) on an optimized crystal structure of TaB2Cl.

Space-group type ... I-42d (122)
Energy above the lowest structure with this stoichiometry ... 0 meV/atom
Theoretical density ... 7.40 g/cm³
Magnetization ... 0.00 μB per formula unit
ΔE_f (raw) ... 1.24 eV per atom

a b c (Å): 5.482 5.482 7.112
angles (deg): 90.00 90.00 90.00
Fractional positions:
1 Ta 0.000 0.000 0.000
2 Ta 0.000 0.500 0.250
3 Ta 0.500 0.000 0.750
4 Ta 0.500 0.500 0.500
5 B 0.206 0.750 0.625
6 B 0.250 0.206 0.375
7 B 0.250 0.294 0.875
8 B 0.294 0.750 0.125
9 B 0.706 0.250 0.125
10 B 0.750 0.706 0.875
11 B 0.750 0.794 0.375
12 B 0.794 0.250 0.625
13 Cl 0.000 0.000 0.500
14 Cl 0.000 0.500 0.750
15 Cl 0.500 0.000 0.250
16 Cl 0.500 0.500 0.000


# 4
VASP calculation (GGA-PBE) on an optimized crystal structure of LiEuThPd.

Space-group type ... F-43m (216)
Theoretical density ... 8.39 g/cm³
Energy relative to the elements ... -184 meV/atom
Magnetization ... 7.01 μB per formula unit

a b c (Å): 7.328 7.328 7.328
angles (deg): 90.00 90.00 90.00
Fractional positions:
1 Li 0.000 0.000 0.000
2 Li 0.000 0.500 0.500
3 Li 0.500 0.000 0.500
4 Li 0.500 0.500 0.000
5 Eu 0.250 0.250 0.250
6 Eu 0.250 0.750 0.750
7 Eu 0.750 0.250 0.750
8 Eu 0.750 0.750 0.250
9 Th 0.250 0.250 0.750
10 Th 0.250 0.750 0.250
11 Th 0.750 0.250 0.250
12 Th 0.750 0.750 0.750
13 Pd 0.000 0.000 0.500
14 Pd 0.000 0.500 0.000
15 Pd 0.500 0.000 0.000
16 Pd 0.500 0.500 0.500


# 5
VASP calculation (GGA-PBE) on an optimized crystal structure of LaMnBr3.

Space-group type ... Pm-3m (221)
Energy above the lowest structure with this stoichiometry ... 119 meV/atom
Theoretical density ... 5.24 g/cm³
Magnetization ... 3.20 μB per formula unit
ΔE_f (raw) ... -0.65 eV per atom

a b c (Å): 5.159 5.159 5.159
angles (deg): 90.00 90.00 90.00
Fractional positions:
1 La 0.000 0.000 0.000
2 Mn 0.500 0.500 0.500
3 Br 0.000 0.500 0.500
4 Br 0.500 0.000 0.500
5 Br 0.500 0.500 0.000


# 6
VASP calculation (GGA-PBE) on an optimized crystal structure of Pm2TmAg2.

Space-group type ... P2_1/m (11)
Energy above the lowest structure with this stoichiometry ... 0 meV/atom
Theoretical density ... 8.43 g/cm³
Energy relative to the elements ... -200 meV/atom
Magnetization ... 0.00 μB per formula unit

a b c (Å): 3.682 5.276 13.808
angles (deg): 90.00 97.67 90.00
Fractional positions:
1 Pm 0.046 0.250 0.093
2 Pm 0.235 0.250 0.468
3 Pm 0.765 0.750 0.532
4 Pm 0.954 0.750 0.907
5 Tm 0.145 0.750 0.291
6 Tm 0.855 0.250 0.709
7 Ag 0.359 0.750 0.718
8 Ag 0.448 0.250 0.895
9 Ag 0.552 0.750 0.105
10 Ag 0.641 0.250 0.282


# 7
VASP calculation (GGA-PBE) on an optimized crystal structure of LaS6Br2.

Space-group type ... P-1 (2)
Theoretical density ... 2.89 g/cm³
Magnetization ... 0.00 μB per formula unit
ΔE_f (raw) ... -0.57 eV per atom

a b c (Å): 4.676 8.234 8.365
angles (deg): 61.11 89.19 88.11
Fractional positions:
1 La 0.000 0.000 0.000
2 S 0.047 0.752 0.776
3 S 0.049 0.531 0.225
4 S 0.296 0.668 0.000
5 S 0.704 0.332 0.000
6 S 0.951 0.469 0.775
7 S 0.953 0.248 0.224
8 Br 0.499 0.130 0.737
9 Br 0.501 0.870 0.263


# 8
VASP calculation (GGA-PBE) on an optimized crystal structure of SrOsAu2.

Space-group type ... C2/m (12)
Energy above the lowest structure with this stoichiometry ... 77 meV/atom
Theoretical density ... 13.33 g/cm³
Energy relative to the elements ... 408 meV/atom
Magnetization ... 0.00 μB per formula unit

a b c (Å): 9.403 2.876 6.245
angles (deg): 90.00 97.65 90.00
Fractional positions:
1 Sr 0.000 0.000 0.000
2 Sr 0.500 0.500 0.000
3 Os 0.000 0.500 0.500
4 Os 0.500 0.000 0.500
5 Au 0.238 0.000 0.697
6 Au 0.262 0.500 0.303
7 Au 0.738 0.500 0.697
8 Au 0.762 0.000 0.303


Question: Look up the magnetization of the fifth one.
Answer: 3.20 μB per formula unit


Question: What is the formula in the first record?
Answer: Ca2Zn15Ga2


Question: theoretical density of number 3 (TaB2Cl)?
Answer: 7.40 g/cm³


Question: What is the formula in the third record?
Answer: TaB2Cl